[1]
Density functional theory data (GGA-PBE) for crystalline SrAs3Pd5 at its relaxed geometry.

The structure belongs to space group Cmcm (No. 63); the cell edges are 4.0024, 13.2053 and 12.9641 Å and the angles 90.00°, 90.00° and 90.00°. The inequivalent atoms are Sr at (0.0000, 0.1532, 0.2500), As at (0.0000, 0.1204, 0.7500), As at (0.0000, 0.3835, 0.5425), Pd at (0.0000, 0.0000, 0.0000), Pd at (0.0000, 0.2031, 0.5727) and Pd at (0.0000, 0.4465, 0.1454).

The value obtained for the size of the total moment is 0.00 μB/cell. As for the formation energy: -0.594 eV/atom. For the electronic total energy, the calculation gives -5.216 eV/atom. The value obtained for the density of states at the Fermi level is 15.5 states/eV/cell.

[2]
Density functional theory data (GGA-PBE) for crystalline UMnP2Ru at its relaxed geometry.

The structure belongs to space group I-4m2 (No. 119); the cell edges are 3.9750, 3.9750 and 9.3783 Å and the angles 90.00°, 90.00° and 90.00°. The inequivalent atoms are U at (0.0000, 0.0000, 0.0000), Mn at (0.0000, 0.5000, 0.2500), P at (0.0000, 0.0000, 0.3764) and Ru at (0.0000, 0.5000, 0.7500).

The value obtained for the size of the total moment is 1.99 μB/cell. As for the formation energy: -0.742 eV/atom. For the electronic total energy, the calculation gives -8.852 eV/atom. The value obtained for the density of states at the Fermi level is 10.7 states/eV/cell.

[3]
Density functional theory data (GGA-PBE) for crystalline SmZnRhPb at its relaxed geometry.

The structure belongs to space group F-43m (No. 216); the cell edges are 6.9523, 6.9523 and 6.9523 Å and the angles 90.00°, 90.00° and 90.00°. The inequivalent atoms are Sm at (0.0000, 0.0000, 0.0000), Zn at (0.2500, 0.2500, 0.7500), Rh at (0.2500, 0.2500, 0.2500) and Pb at (0.0000, 0.0000, 0.5000).

The value obtained for the size of the total moment is 0.00 μB/cell. As for the formation energy: -0.341 eV/atom. For the electronic total energy, the calculation gives -4.604 eV/atom. The value obtained for the density of states at the Fermi level is 12.7 states/eV/cell.